#one
The following is a PBE calculation of CeSmCoHg after structural relaxation, from the Alexandria database.

a b c (Å): 5.129 5.129 5.129
angles (deg): 60.00 60.00 60.00
Element x y z (fractional)
Ce: 0.500 0.500 0.500
Co: 0.250 0.250 0.250
Hg: 0.750 0.750 0.750
Sm: 0.000 0.000 0.000

Values from the calculation:
- DOS(E_F) (states/eV/cell) = 6.426
- SG = F-43m

#two
The following is a PBE calculation of CeSmCoHg after structural relaxation, from the Alexandria database.

a b c (Å): 3.712 3.685 8.554
angles (deg): 56.61 81.29 86.29
Element x y z (fractional)
Ce: 0.989 0.567 0.836
Sm: 0.153 0.303 0.259
Co: 0.619 0.012 0.019
Hg: 0.565 0.434 0.542

Values from the calculation:
- DOS(E_F) (states/eV/cell) = 4.592
- SG = P1

Which is the most stable structure? #two is the most stable.

#one
The following is a PBE calculation of CeYCoHg after structural relaxation, from the Alexandria database.

a b c (Å): 3.616 3.616 7.302
angles (deg): 97.54 82.45 91.82
Element x y z (fractional)
Ce: 0.994 0.417 0.834
Y: 0.137 0.274 0.259
Co: 0.629 0.781 0.035
Hg: 0.565 0.845 0.529

Values from the calculation:
- DOS(E_F) (states/eV/cell) = 4.979
- SG = Cm

#two
The following is a PBE calculation of CeYCoHg after structural relaxation, from the Alexandria database.

a b c (Å): 5.095 5.095 5.095
angles (deg): 60.00 60.00 60.00
Element x y z (fractional)
Y: 0.250 0.250 0.250
Co: 0.500 0.500 0.500
Hg: 0.000 0.000 0.000
Ce: 0.750 0.750 0.750

Values from the calculation:
- DOS(E_F) (states/eV/cell) = 7.042
- SG = F-43m

Which is the most stable structure? #one is the most stable.

#one
The following is a PBE calculation of CeHoCoRu after structural relaxation, from the Alexandria database.

a b c (Å): 3.372 3.372 6.796
angles (deg): 90.00 90.00 90.00
Element x y z (fractional)
Ce: 0.500 0.500 0.595
Ho: 0.500 0.500 0.107
Co: 0.000 0.000 0.385
Ru: 0.000 0.000 0.842

Values from the calculation:
- DOS(E_F) (states/eV/cell) = 2.442
- SG = P4mm

#two
The following is a PBE calculation of CeHoCoRu after structural relaxation, from the Alexandria database.

a b c (Å): 4.798 4.798 4.798
angles (deg): 60.00 60.00 60.00
Element x y z (fractional)
Ru: 0.500 0.500 0.500
Co: 0.000 0.000 0.000
Ho: 0.250 0.250 0.250
Ce: 0.750 0.750 0.750

Values from the calculation:
- DOS(E_F) (states/eV/cell) = 2.285
- SG = F-43m

Which is the most stable structure? #one is the most stable.

#one
The following is a PBE calculation of Ce2InCo after structural relaxation, from the Alexandria database.

a b c (Å): 3.760 3.760 8.627
angles (deg): 77.41 77.41 60.00
Element x y z (fractional)
Co: 0.000 0.000 0.000
Ce: 0.270 0.270 0.189
Ce: 0.730 0.730 0.811
In: 0.500 0.500 0.500

Values from the calculation:
- DOS(E_F) (states/eV/cell) = 8.162
- SG = R-3m

#two
The following is a PBE calculation of Ce2InCo after structural relaxation, from the Alexandria database.

a b c (Å): 3.506 3.506 7.469
angles (deg): 90.00 90.00 90.00
Element x y z (fractional)
Co: 0.500 0.500 0.000
Ce: 0.000 0.000 0.809
Ce: 0.000 0.000 0.191
In: 0.500 0.500 0.500

Values from the calculation:
- DOS(E_F) (states/eV/cell) = 6.484
- SG = P4/mmm

Which is the most stable structure? #two is the most stable.

#one
The following is a PBE calculation of Ce2InCo after structural relaxation, from the Alexandria database.

a b c (Å): 7.311 5.667 8.941
angles (deg): 90.00 83.63 90.00
Element x y z (fractional)
Ce: 0.233 0.270 0.177
Ce: 0.733 0.230 0.177
Ce: 0.172 0.905 0.435
Ce: 0.267 0.770 0.823
Ce: 0.828 0.095 0.565
Ce: 0.328 0.405 0.565
Ce: 0.767 0.730 0.823
Ce: 0.672 0.595 0.435
In: 0.978 0.741 0.143
In: 0.522 0.241 0.857
In: 0.478 0.759 0.143
In: 0.022 0.259 0.857
Co: 0.483 0.900 0.639
Co: 0.983 0.600 0.639
Co: 0.517 0.100 0.361
Co: 0.017 0.400 0.361

Values from the calculation:
- DOS(E_F) (states/eV/cell) = 23.998
- SG = P2_1/c

#two
The following is a PBE calculation of Ce2InCo after structural relaxation, from the Alexandria database.

a b c (Å): 6.841 4.724 11.093
angles (deg): 90.00 90.00 90.00
Element x y z (fractional)
Ce: 0.219 0.500 0.943
Ce: 0.719 0.500 0.057
Ce: 0.719 0.000 0.443
Ce: 0.219 0.000 0.557
Ce: 0.449 0.000 0.862
Ce: 0.949 0.000 0.138
Ce: 0.949 0.500 0.361
Ce: 0.449 0.500 0.639
In: 0.929 0.000 0.842
In: 0.429 0.000 0.158
In: 0.429 0.500 0.343
In: 0.929 0.500 0.657
Co: 0.154 0.000 0.332
Co: 0.654 0.000 0.668
Co: 0.653 0.500 0.832
Co: 0.153 0.500 0.168

Values from the calculation:
- DOS(E_F) (states/eV/cell) = 29.541
- SG = Ima2

Which is the most stable structure? #one is the most stable.

#one
The following is a PBE calculation of Ce3InCo after structural relaxation, from the Alexandria database.

a b c (Å): 7.436 7.436 7.436
angles (deg): 137.40 117.16 78.90
Element x y z (fractional)
Ce: 0.323 0.850 0.473
Ce: 0.677 0.150 0.527
Ce: 0.877 0.850 0.027
Ce: 0.123 0.150 0.973
Ce: 0.436 0.686 0.750
Ce: 0.564 0.314 0.250
In: 0.155 0.405 0.750
In: 0.845 0.595 0.250
Co: 0.705 0.955 0.750
Co: 0.295 0.045 0.250

Values from the calculation:
- DOS(E_F) (states/eV/cell) = 18.437
- SG = Imma

#two
The following is a PBE calculation of Ce3InCo after structural relaxation, from the Alexandria database.

a b c (Å): 5.144 5.144 5.144
angles (deg): 90.00 90.00 90.00
Element x y z (fractional)
Co: 0.000 0.000 0.000
Ce: 0.000 0.500 0.000
Ce: 0.000 0.000 0.500
Ce: 0.500 0.000 0.000
In: 0.500 0.500 0.500

Values from the calculation:
- DOS(E_F) (states/eV/cell) = 14.543
- SG = Pm-3m

Which is the most stable structure? #two is the most stable.